VASP calculation (GGA-PBE) on a geometry-optimized SrLa3Ru structure.

Structure (CIF):
```
data_SrLa3Ru
_space_group_name_H-M_alt 'P 63/m m c'
_space_group_IT_number 194
_space_group_name_Hall '-P 6c 2c'
_cell_length_a 4.5661
_cell_length_b 4.5661
_cell_length_c 23.2383
_cell_angle_alpha 90.00
_cell_angle_beta 90.00
_cell_angle_gamma 120.00
loop_
_atom_site_label
_atom_site_type_symbol
_atom_site_fract_x
_atom_site_fract_y
_atom_site_fract_z
Sr1 Sr 0.0000 0.0000 0.0000
La1 La 0.0000 0.0000 0.2500
La2 La 0.3333 0.6667 0.1312
Ru1 Ru 0.3333 0.6667 0.2500
```

**Calculated volume**: 420 Å³ per cell
**Formation energy**: 181 meV per atom
**Energy relative to the lowest polymorph listed for this composition**: 1.80 eV per formula unit
**Uncorrected energy**: -4.967 eV per atom